Entry 1:
A relaxed TiBTe2N crystal. Source: Alexandria, functional PBE. Values from VASP.

Symmetry = No. 123
Raw formation energy = 0.82 eV per atom
Size of the total moment = 0.000 μB per formula unit
D(E_F) = 0.576 states/eV/atom
Energy above the lowest structure with this stoichiometry = 0.599 eV/atom
Calculated density = 4.8 Mg/m³

The structure in Quantum ESPRESSO input format:
```
&SYSTEM
  ibrav = 0, nat = 5, ntyp = 4
/
ATOMIC_SPECIES
N 14.01 N.upf
Ti 47.87 Ti.upf
B 10.81 B.upf
Te 127.60 Te.upf
CELL_PARAMETERS angstrom
-4.4362 -3.0215 1.3362
0.5464 -2.8772 -4.6923
2.1670 -2.4152 1.7333
ATOMIC_POSITIONS angstrom
N 1.0835 -1.2076 0.8666
Ti 0.0000 0.0000 0.0000
B -0.8614 -4.1570 -0.8114
Te -2.2181 -1.5107 0.6681
Te 0.2732 -1.4386 -2.3461
```

Entry 2:
A relaxed KPm3Dy2Te6 crystal. Source: Alexandria, functional PBE. Values from VASP.

Symmetry = No. 12
Raw formation energy = -1.34 eV per atom
Size of the total moment = 0.000 μB per formula unit
D(E_F) = 0.378 states/eV/atom
Calculated density = 6.8 Mg/m³

The structure in Quantum ESPRESSO input format:
```
&SYSTEM
  ibrav = 0, nat = 12, ntyp = 4
/
ATOMIC_SPECIES
Te 127.60 Te.upf
Dy 162.50 Dy.upf
Pm 145.00 Pm.upf
K 39.10 K.upf
CELL_PARAMETERS angstrom
-4.2317 -0.6816 -1.1400
1.1477 -8.9378 1.0838
-0.7563 3.3822 9.4130
ATOMIC_POSITIONS angstrom
Te -2.4220 -4.4726 3.0369
Dy -3.2723 -4.2095 6.0361
Pm 0.0283 -6.3420 3.6869
Pm -1.5420 -4.8097 -0.0281
Te -0.8282 -6.1410 6.7464
Te 0.2639 -2.2986 0.3949
Dy -0.5680 -2.0278 3.3208
Te -1.4183 -1.7647 6.3199
Te -4.1041 -3.9387 8.9620
Pm -3.8686 0.1047 5.6699
K -2.1158 -0.3408 -0.5700
Te -3.0120 -0.0962 2.6105
```

Entry 3:
A relaxed InSiNi3 crystal. Source: Alexandria, functional PBE. Values from VASP.

Symmetry = No. 221
Raw formation energy = 0.11 eV per atom
Size of the total moment = 0.000 μB per formula unit
D(E_F) = 0.610 states/eV/atom
Energy above the lowest structure with this stoichiometry = 0.000 eV/atom
Calculated density = 6.9 Mg/m³

The structure in Quantum ESPRESSO input format:
```
&SYSTEM
  ibrav = 0, nat = 5, ntyp = 3
/
ATOMIC_SPECIES
In 114.82 In.upf
Si 28.09 Si.upf
Ni 58.69 Ni.upf
CELL_PARAMETERS angstrom
4.2406 0.0000 0.0000
0.0000 4.2406 0.0000
0.0000 0.0000 4.2406
ATOMIC_POSITIONS angstrom
In 2.1203 2.1203 2.1203
Si 0.0000 0.0000 0.0000
Ni 0.0000 0.0000 2.1203
Ni 2.1203 0.0000 0.0000
Ni 0.0000 2.1203 0.0000
```

Entry 4:
A relaxed Cr2PdWCl crystal. Source: Alexandria, functional PBE. Values from VASP.

Symmetry = No. 123
Raw formation energy = 1.30 eV per atom
Size of the total moment = 5.836 μB per formula unit
D(E_F) = 0.785 states/eV/atom
Calculated density = 6.8 Mg/m³

The structure in Quantum ESPRESSO input format:
```
&SYSTEM
  ibrav = 0, nat = 5, ntyp = 4
/
ATOMIC_SPECIES
Cl 35.45 Cl.upf
Pd 106.42 Pd.upf
Cr 52.00 Cr.upf
W 183.84 W.upf
CELL_PARAMETERS angstrom
4.8245 0.0000 0.0000
0.0000 4.5052 0.0000
0.0000 0.0000 4.8245
ATOMIC_POSITIONS angstrom
Cl 0.0000 2.2526 0.0000
Pd 2.4122 2.2526 2.4122
Cr 0.0000 0.0000 2.4122
Cr 2.4122 0.0000 0.0000
W 0.0000 0.0000 0.0000
```

Entry 5:
A relaxed CaMgCd crystal. Source: Alexandria, functional PBE. Values from VASP.

Symmetry = No. 187
Size of the total moment = 0.000 μB per formula unit
D(E_F) = 0.852 states/eV/atom
Energy relative to the elements = -20.7 kJ per mole of atoms
Calculated density = 3.6 Mg/m³

The structure in Quantum ESPRESSO input format:
```
&SYSTEM
  ibrav = 0, nat = 3, ntyp = 3
/
ATOMIC_SPECIES
Mg 24.30 Mg.upf
Cd 112.41 Cd.upf
Ca 40.08 Ca.upf
CELL_PARAMETERS angstrom
5.0967 0.0000 0.0000
-2.5483 4.4139 0.0000
0.0000 0.0000 3.6446
ATOMIC_POSITIONS angstrom
Mg 0.0000 2.9426 1.8222
Cd 2.5483 1.4713 1.8224
Ca 0.0000 0.0000 0.0000
```

Entry 6:
A relaxed Ba2MgZn3Ag4 crystal. Source: Alexandria, functional PBE. Values from VASP.

Symmetry = No. 115
Size of the total moment = 0.000 μB per formula unit
D(E_F) = 0.405 states/eV/atom
Energy relative to the elements = -19.8 kJ per mole of atoms
Calculated density = 6.2 Mg/m³

The structure in Quantum ESPRESSO input format:
```
&SYSTEM
  ibrav = 0, nat = 10, ntyp = 4
/
ATOMIC_SPECIES
Ag 107.87 Ag.upf
Ba 137.33 Ba.upf
Mg 24.30 Mg.upf
Zn 65.41 Zn.upf
CELL_PARAMETERS angstrom
-4.0444 2.3829 -0.5417
-0.6289 -0.0027 4.6833
5.5257 9.5485 0.7475
ATOMIC_POSITIONS angstrom
Ag 1.4833 7.2490 0.2034
Ag 0.0000 0.0000 0.0000
Ba 3.8835 7.2529 2.9096
Ag -2.3367 1.1901 2.0708
Mg 0.4262 5.9643 2.4446
Ba -0.6945 3.4857 -0.0912
Zn 2.7628 4.7742 0.3738
Ag 1.7057 3.4895 2.6149
Zn 2.8372 9.5886 0.3865
Zn 0.3518 1.1499 2.4318
```

> size of the total moment of number 4 (Cr2PdWCl)?

5.836 μB per formula unit